(1)
Computed, not measured: a relaxed Tb2NdDyTm6 crystal at the PBE level of DFT.

Total DFT energy (no corrections) = -88.47 eV for the cell shown

Cell and atoms, written as POSCAR:
```
Tb2NdDyTm6
1.0
9.011 -2.019 -2.095
0.827 8.444 -2.000
0.827 -2.312 8.364
Nd Tb Tm Dy
2 4 12 2
Cartesian
3.080 7.679 -2.273
7.586 -3.566 6.542
5.335 4.256 3.272
5.331 -0.143 0.996
0.825 2.010 0.942
9.840 2.103 3.327
4.105 2.847 0.619
9.420 4.901 -1.609
2.137 4.384 -1.346
2.055 4.609 2.448
6.642 -2.517 3.283
1.245 -0.788 5.878
8.529 -0.271 5.615
8.610 -0.496 1.820
4.023 6.630 0.985
6.561 1.266 3.649
5.751 4.893 -1.617
4.915 -0.780 5.886
3.080 1.585 3.599
7.586 2.528 0.670
```

***

(2)
Computed, not measured: a relaxed Tb2NdDyTm2 crystal at the PBE level of DFT.

Total DFT energy (no corrections) = -51.81 eV for the cell shown

Cell and atoms, written as POSCAR:
```
Tb2NdDyTm2
1.0
3.395 0.000 0.000
0.000 6.493 0.000
0.000 0.000 17.831
Dy Tb Tm Nd
2 4 4 2
Cartesian
1.698 3.246 0.000
0.000 0.000 8.916
1.698 4.679 12.269
1.698 1.814 5.562
0.000 1.432 14.478
0.000 5.060 3.353
0.000 1.829 2.627
1.698 1.418 11.543
0.000 4.664 15.204
1.698 5.075 6.288
0.000 0.000 0.000
1.698 3.246 8.916
```

***

(3)
Computed, not measured: a relaxed TbNd3DyTm crystal at the PBE level of DFT.

Total DFT energy (no corrections) = -55.78 eV for the cell shown

Cell and atoms, written as POSCAR:
```
TbNd3DyTm
1.0
5.086 0.000 0.000
-2.543 7.664 0.000
0.000 0.000 10.201
Nd Tb Dy Tm
6 2 2 2
Cartesian
0.000 2.552 7.651
2.543 2.536 0.003
2.543 5.112 2.550
0.000 5.128 10.198
0.000 5.128 5.104
2.543 2.536 5.098
0.000 0.000 0.000
0.000 0.000 5.101
2.543 0.025 2.550
0.000 7.639 7.651
2.543 5.133 7.651
0.000 2.531 2.550
```

***

> Which value of total DFT energy (no corrections) does entry 2 give?

-51.81 eV for the cell shown